Entry 1:
A plane-wave DFT calculation with PBE-GGA was carried out for a geometry-optimized CuSiSe4 structure.

a = 5.646 Å, b = 5.646 Å, c = 5.646 Å
α = 60.00°, β = 60.00°, γ = 60.00°
Fractional coordinates of all 6 atoms:
Cu (0.000, 0.000, 0.000)
Si (0.250, 0.250, 0.250)
Se (0.125, 0.625, 0.625)
Se (0.625, 0.125, 0.625)
Se (0.625, 0.625, 0.125)
Se (0.625, 0.625, 0.625)

ΔE_f (raw) in meV/atom: 864
Crystal system: cubic

Entry 2:
A plane-wave DFT calculation with PBE-GGA was carried out for a geometry-optimized Ti2GePt structure.

a = 3.956 Å, b = 3.956 Å, c = 3.982 Å
α = 90.00°, β = 90.00°, γ = 90.00°
Fractional coordinates of all 4 atoms:
Ti (0.000, 0.500, 0.000)
Ti (0.500, 0.000, 0.000)
Ge (0.000, 0.000, 0.500)
Pt (0.500, 0.500, 0.500)

Crystal system: tetragonal
ΔE_f in eV/atom: -0.71

Entry 3:
A plane-wave DFT calculation with PBE-GGA was carried out for a geometry-optimized CsKTeN2 structure.

a = 5.002 Å, b = 5.002 Å, c = 6.625 Å
α = 90.00°, β = 90.00°, γ = 90.00°
Fractional coordinates of all 5 atoms:
Cs (0.000, 0.000, 0.000)
K (0.500, 0.500, 0.500)
Te (0.000, 0.000, 0.500)
N (0.000, 0.500, 0.000)
N (0.500, 0.000, 0.000)

ΔE_f (raw) in meV/atom: 1703
Crystal system: tetragonal

Entry 4:
A plane-wave DFT calculation with PBE-GGA was carried out for a geometry-optimized ThZrAs2O structure.

a = 3.927 Å, b = 3.927 Å, c = 13.461 Å
α = 90.00°, β = 90.00°, γ = 90.00°
Fractional coordinates of all 10 atoms:
Th (0.250, 0.250, 0.103)
Th (0.750, 0.750, 0.897)
Zr (0.250, 0.250, 0.601)
Zr (0.750, 0.750, 0.399)
As (0.250, 0.250, 0.390)
As (0.250, 0.250, 0.796)
As (0.750, 0.750, 0.204)
As (0.750, 0.750, 0.610)
O (0.250, 0.750, 0.000)
O (0.750, 0.250, 0.000)

ΔE_f (raw) in meV/atom: -1862
Crystal system: tetragonal

Entry 5:
A plane-wave DFT calculation with PBE-GGA was carried out for a geometry-optimized Mn4CuNi structure.

a = 4.617 Å, b = 4.617 Å, c = 4.617 Å
α = 60.00°, β = 60.00°, γ = 60.00°
Fractional coordinates of all 6 atoms:
Mn (0.125, 0.125, 0.125)
Mn (0.125, 0.125, 0.625)
Mn (0.125, 0.625, 0.125)
Mn (0.625, 0.125, 0.125)
Cu (0.750, 0.750, 0.750)
Ni (0.500, 0.500, 0.500)

Crystal system: cubic
ΔE_f in eV/atom: 0.35

Entry 6:
A plane-wave DFT calculation with PBE-GGA was carried out for a geometry-optimized TlCrRe2 structure.

a = 5.118 Å, b = 5.118 Å, c = 5.118 Å
α = 135.81°, β = 135.81°, γ = 64.27°
Fractional coordinates of all 4 atoms:
Tl (0.000, 0.000, 0.000)
Cr (0.500, 0.500, 0.000)
Re (0.250, 0.750, 0.500)
Re (0.750, 0.250, 0.500)

Crystal system: tetragonal
ΔE_f in eV/atom: 0.82

Entry 7:
A plane-wave DFT calculation with PBE-GGA was carried out for a geometry-optimized Ho4InTe2 structure.

a = 9.570 Å, b = 8.233 Å, c = 8.210 Å
α = 71.18°, β = 54.52°, γ = 54.30°
Fractional coordinates of all 14 atoms:
Ho (0.120, 0.319, 0.321)
Ho (0.259, 0.679, 0.681)
Ho (0.319, 0.120, 0.741)
Ho (0.321, 0.741, 0.120)
Ho (0.679, 0.259, 0.880)
Ho (0.681, 0.880, 0.259)
Ho (0.741, 0.321, 0.319)
Ho (0.880, 0.681, 0.679)
In (0.375, 0.375, 0.375)
In (0.625, 0.625, 0.625)
Te (0.000, 0.000, 0.000)
Te (0.000, 0.000, 0.500)
Te (0.000, 0.500, 0.000)
Te (0.500, 0.000, 0.000)

ΔE_f (raw) in meV/atom: -765
Crystal system: orthorhombic

Entry 8:
A plane-wave DFT calculation with PBE-GGA was carried out for a geometry-optimized NaSr4TlHg2 structure.

a = 10.142 Å, b = 10.142 Å, c = 10.142 Å
α = 33.23°, β = 33.23°, γ = 33.23°
Fractional coordinates of all 8 atoms:
Na (0.000, 0.000, 0.000)
Sr (0.130, 0.130, 0.130)
Sr (0.381, 0.381, 0.381)
Sr (0.619, 0.619, 0.619)
Sr (0.870, 0.870, 0.870)
Tl (0.500, 0.500, 0.500)
Hg (0.256, 0.256, 0.256)
Hg (0.744, 0.744, 0.744)

Crystal system: trigonal
ΔE_f in eV/atom: -0.37

Entry 9:
A plane-wave DFT calculation with PBE-GGA was carried out for a geometry-optimized NiW2Au structure.

a = 3.316 Å, b = 3.316 Å, c = 5.651 Å
α = 90.00°, β = 90.00°, γ = 90.00°
Fractional coordinates of all 4 atoms:
Ni (0.000, 0.000, 0.000)
W (0.500, 0.500, 0.213)
W (0.500, 0.500, 0.787)
Au (0.000, 0.000, 0.500)

Crystal system: tetragonal
ΔE_f in eV/atom: 0.42

Entry 10:
A plane-wave DFT calculation with PBE-GGA was carried out for a geometry-optimized ThHgTe3 structure.

a = 7.650 Å, b = 4.342 Å, c = 9.926 Å
α = 90.00°, β = 101.42°, γ = 90.00°
Fractional coordinates of all 10 atoms:
Th (0.032, 0.250, 0.225)
Th (0.968, 0.750, 0.775)
Hg (0.399, 0.750, 0.728)
Hg (0.601, 0.250, 0.272)
Te (0.132, 0.250, 0.572)
Te (0.209, 0.250, 0.956)
Te (0.340, 0.750, 0.319)
Te (0.660, 0.250, 0.681)
Te (0.791, 0.750, 0.044)
Te (0.868, 0.750, 0.428)

ΔE_f (raw) in meV/atom: -689
Crystal system: monoclinic

Entry 11:
A plane-wave DFT calculation with PBE-GGA was carried out for a geometry-optimized Li3Ga9Pd2 structure.

a = 7.897 Å, b = 7.897 Å, c = 7.897 Å
α = 149.51°, β = 102.49°, γ = 85.53°
Fractional coordinates of all 14 atoms:
Li (0.000, 0.000, 0.000)
Li (0.288, 0.288, 0.000)
Li (0.712, 0.712, 0.000)
Ga (0.006, 0.633, 0.373)
Ga (0.138, 0.852, 0.286)
Ga (0.261, 0.633, 0.627)
Ga (0.435, 0.148, 0.286)
Ga (0.500, 0.000, 0.500)
Ga (0.565, 0.852, 0.714)
Ga (0.739, 0.367, 0.373)
Ga (0.862, 0.148, 0.714)
Ga (0.994, 0.367, 0.627)
Pd (0.344, 0.500, 0.844)
Pd (0.656, 0.500, 0.156)

Crystal system: orthorhombic
ΔE_f in eV/atom: -0.34

Entry 12:
A plane-wave DFT calculation with PBE-GGA was carried out for a geometry-optimized Rb4PmU3S12 structure.

a = 9.098 Å, b = 9.098 Å, c = 9.098 Å
α = 109.47°, β = 109.47°, γ = 109.47°
Fractional coordinates of all 20 atoms:
Rb (0.000, 0.000, 0.500)
Rb (0.000, 0.500, 0.000)
Rb (0.500, 0.000, 0.000)
Rb (0.500, 0.500, 0.500)
Pm (0.000, 0.000, 0.000)
U (0.000, 0.500, 0.500)
U (0.500, 0.000, 0.500)
U (0.500, 0.500, 0.000)
S (0.000, 0.263, 0.263)
S (0.000, 0.737, 0.737)
S (0.250, 0.500, 0.750)
S (0.250, 0.750, 0.500)
S (0.263, 0.000, 0.263)
S (0.263, 0.263, 0.000)
S (0.500, 0.250, 0.750)
S (0.500, 0.750, 0.250)
S (0.737, 0.000, 0.737)
S (0.737, 0.737, 0.000)
S (0.750, 0.250, 0.500)
S (0.750, 0.500, 0.250)

ΔE_f (raw) in meV/atom: -1375
Crystal system: cubic

Entry 13:
A plane-wave DFT calculation with PBE-GGA was carried out for a geometry-optimized Ho5AgSe8 structure.

a = 8.352 Å, b = 8.352 Å, c = 8.352 Å
α = 60.00°, β = 60.00°, γ = 60.00°
Fractional coordinates of all 14 atoms:
Ho (0.000, 0.000, 0.000)
Ho (0.139, 0.620, 0.620)
Ho (0.620, 0.139, 0.620)
Ho (0.620, 0.620, 0.139)
Ho (0.620, 0.620, 0.620)
Ag (0.250, 0.250, 0.250)
Se (0.382, 0.382, 0.382)
Se (0.382, 0.382, 0.855)
Se (0.382, 0.855, 0.382)
Se (0.400, 0.867, 0.867)
Se (0.855, 0.382, 0.382)
Se (0.867, 0.400, 0.867)
Se (0.867, 0.867, 0.400)
Se (0.867, 0.867, 0.867)

ΔE_f (raw) in meV/atom: -1647
Crystal system: cubic

Entry 14:
A plane-wave DFT calculation with PBE-GGA was carried out for a geometry-optimized CaHfMg2As structure.

a = 5.553 Å, b = 5.553 Å, c = 5.080 Å
α = 90.00°, β = 90.00°, γ = 90.00°
Fractional coordinates of all 5 atoms:
Ca (0.000, 0.000, 0.000)
Hf (0.500, 0.500, 0.500)
Mg (0.000, 0.500, 0.500)
Mg (0.500, 0.000, 0.500)
As (0.500, 0.500, 0.000)

Crystal system: tetragonal
ΔE_f in eV/atom: 0.29

Entry 15:
A plane-wave DFT calculation with PBE-GGA was carried out for a geometry-optimized Sm5DyIn5 structure.

a = 9.433 Å, b = 9.433 Å, c = 6.972 Å
α = 111.60°, β = 111.60°, γ = 35.67°
Fractional coordinates of all 11 atoms:
Sm (0.000, 0.000, 0.000)
Sm (0.313, 0.313, 0.312)
Sm (0.362, 0.362, 0.861)
Sm (0.638, 0.638, 0.139)
Sm (0.687, 0.687, 0.688)
Dy (0.000, 0.000, 0.500)
In (0.163, 0.163, 0.888)
In (0.164, 0.164, 0.439)
In (0.500, 0.500, 0.500)
In (0.836, 0.836, 0.561)
In (0.837, 0.837, 0.112)

Crystal system: monoclinic
ΔE_f in eV/atom: -0.23

Entry 16:
A plane-wave DFT calculation with PBE-GGA was carried out for a geometry-optimized Si2Te structure.

a = 6.776 Å, b = 6.776 Å, c = 3.791 Å
α = 90.00°, β = 90.00°, γ = 90.00°
Fractional coordinates of all 6 atoms:
Si (0.212, 0.212, 0.000)
Si (0.288, 0.712, 0.500)
Si (0.712, 0.288, 0.500)
Si (0.788, 0.788, 0.000)
Te (0.000, 0.000, 0.500)
Te (0.500, 0.500, 0.000)

ΔE_f (raw) in meV/atom: 1144
Crystal system: tetragonal

Entry 17:
A plane-wave DFT calculation with PBE-GGA was carried out for a geometry-optimized Cs3SnI6 structure.

a = 10.655 Å, b = 10.655 Å, c = 10.655 Å
α = 90.35°, β = 90.35°, γ = 90.35°
Fractional coordinates of all 20 atoms:
Cs (0.067, 0.578, 0.743)
Cs (0.257, 0.933, 0.422)
Cs (0.422, 0.257, 0.933)
Cs (0.578, 0.743, 0.067)
Cs (0.743, 0.067, 0.578)
Cs (0.933, 0.422, 0.257)
Sn (0.000, 0.000, 0.000)
Sn (0.500, 0.500, 0.500)
I (0.049, 0.940, 0.722)
I (0.060, 0.278, 0.951)
I (0.234, 0.566, 0.416)
I (0.278, 0.951, 0.060)
I (0.416, 0.234, 0.566)
I (0.434, 0.584, 0.766)
I (0.566, 0.416, 0.234)
I (0.584, 0.766, 0.434)
I (0.722, 0.049, 0.940)
I (0.766, 0.434, 0.584)
I (0.940, 0.722, 0.049)
I (0.951, 0.060, 0.278)

ΔE_f (raw) in meV/atom: -1067
Crystal system: trigonal

Entry 18:
A plane-wave DFT calculation with PBE-GGA was carried out for a geometry-optimized AcNd3ErTm structure.

a = 11.885 Å, b = 11.885 Å, c = 7.183 Å
α = 98.15°, β = 98.15°, γ = 26.51°
Fractional coordinates of all 12 atoms:
Ac (0.126, 0.126, 0.479)
Ac (0.874, 0.874, 0.521)
Nd (0.021, 0.021, 0.784)
Nd (0.275, 0.275, 0.692)
Nd (0.323, 0.323, 0.216)
Nd (0.677, 0.677, 0.784)
Nd (0.725, 0.725, 0.308)
Nd (0.979, 0.979, 0.216)
Er (0.166, 0.166, 0.027)
Er (0.834, 0.834, 0.973)
Tm (0.425, 0.425, 0.884)
Tm (0.575, 0.575, 0.116)

Crystal system: monoclinic
ΔE_f in eV/atom: 0.21

Entry 19:
A plane-wave DFT calculation with PBE-GGA was carried out for a geometry-optimized SrCeSnPb structure.

a = 5.643 Å, b = 5.643 Å, c = 5.643 Å
α = 60.00°, β = 60.00°, γ = 60.00°
Fractional coordinates of all 4 atoms:
Sr (0.000, 0.000, 0.000)
Ce (0.500, 0.500, 0.500)
Sn (0.250, 0.250, 0.250)
Pb (0.750, 0.750, 0.750)

Crystal system: cubic
ΔE_f in eV/atom: -0.43

Entry 20:
A plane-wave DFT calculation with PBE-GGA was carried out for a geometry-optimized InAsSe2 structure.

a = 7.493 Å, b = 7.493 Å, c = 7.493 Å
α = 151.20°, β = 151.07°, γ = 41.28°
Fractional coordinates of all 4 atoms:
In (0.000, 0.000, 0.000)
As (0.726, 0.226, 0.500)
Se (0.179, 0.679, 0.500)
Se (0.426, 0.426, 0.000)

ΔE_f (raw) in meV/atom: -20
Crystal system: orthorhombic

Entry 21:
A plane-wave DFT calculation with PBE-GGA was carried out for a geometry-optimized LiSbMo structure.

a = 4.924 Å, b = 4.924 Å, c = 4.924 Å
α = 138.89°, β = 138.89°, γ = 59.55°
Fractional coordinates of all 3 atoms:
Li (0.000, 0.000, 0.000)
Sb (0.326, 0.326, 0.000)
Mo (0.665, 0.665, 0.000)

ΔE_f (raw) in meV/atom: 168
Crystal system: tetragonal

Entry 22:
A plane-wave DFT calculation with PBE-GGA was carried out for a geometry-optimized Li2Ni6Ge structure.

a = 6.604 Å, b = 6.604 Å, c = 4.134 Å
α = 98.81°, β = 98.81°, γ = 140.44°
Fractional coordinates of all 9 atoms:
Li (0.170, 0.830, 0.000)
Li (0.830, 0.170, 0.000)
Ni (0.164, 0.491, 0.658)
Ni (0.325, 0.325, 0.162)
Ni (0.491, 0.164, 0.658)
Ni (0.509, 0.836, 0.342)
Ni (0.675, 0.675, 0.838)
Ni (0.836, 0.509, 0.342)
Ge (0.000, 0.000, 0.500)

Crystal system: monoclinic
ΔE_f in eV/atom: -0.03

Entry 23:
A plane-wave DFT calculation with PBE-GGA was carried out for a geometry-optimized Th12In3Pb structure.

a = 4.959 Å, b = 4.959 Å, c = 19.849 Å
α = 90.00°, β = 90.00°, γ = 90.00°
Fractional coordinates of all 16 atoms:
Th (0.000, 0.000, 0.000)
Th (0.000, 0.000, 0.249)
Th (0.000, 0.000, 0.500)
Th (0.000, 0.000, 0.751)
Th (0.000, 0.500, 0.125)
Th (0.000, 0.500, 0.373)
Th (0.000, 0.500, 0.627)
Th (0.000, 0.500, 0.875)
Th (0.500, 0.000, 0.125)
Th (0.500, 0.000, 0.373)
Th (0.500, 0.000, 0.627)
Th (0.500, 0.000, 0.875)
In (0.500, 0.500, 0.000)
In (0.500, 0.500, 0.250)
In (0.500, 0.500, 0.750)
Pb (0.500, 0.500, 0.500)

Crystal system: tetragonal
ΔE_f in eV/atom: -0.16